Record 1
# Tb2Be15Cu2 | the Alexandria database | PBE-GGA | relaxed
# Volume (Å³/atom): 10.73
# Magnetic moment (μB/atom): 0.00
data_Tb2Be15Cu2
_chemical_formula_sum 'Tb6 Be45 Cu6'
_space_group_name_H-M_alt 'R -3 m'
_space_group_IT_number 166
_space_group_name_Hall '-R 3 2"'
_cell_length_a 7.8407
_cell_length_b 7.8407
_cell_length_c 11.4866
_cell_angle_alpha 90.00
_cell_angle_beta 90.00
_cell_angle_gamma 120.00
loop_
_atom_site_label
_atom_site_fract_x
_atom_site_fract_y
_atom_site_fract_z
Tb1 0.0000 0.0000 0.1563
Be1 0.0000 0.2777 0.5000
Be2 0.0000 0.5000 0.0000
Be3 0.0060 0.5030 0.3380
Cu1 0.0000 0.0000 0.3963



Record 2
# TbBeCu | the Alexandria database | PBE-GGA | relaxed
# Volume (Å³/atom): 17.66
# Magnetic moment (μB/atom): 0.00
data_TbBeCu
_chemical_formula_sum 'Tb1 Be1 Cu1'
_space_group_name_H-M_alt 'P -6 m 2'
_space_group_IT_number 187
_space_group_name_Hall 'P -6 2'
_cell_length_a 4.0796
_cell_length_b 4.0796
_cell_length_c 3.6753
_cell_angle_alpha 90.00
_cell_angle_beta 90.00
_cell_angle_gamma 120.00
loop_
_atom_site_label
_atom_site_fract_x
_atom_site_fract_y
_atom_site_fract_z
Tb1 0.0000 0.0000 0.0000
Be1 0.3333 0.6667 0.5000
Cu1 0.6667 0.3333 0.5000



Record 3
# TbBe4Cu8 | the Alexandria database | PBE-GGA | relaxed
# Volume (Å³/atom): 11.92
# Magnetic moment (μB/atom): 0.00
data_TbBe4Cu8
_chemical_formula_sum 'Tb2 Be8 Cu16'
_space_group_name_H-M_alt 'I 4/m m m'
_space_group_IT_number 139
_space_group_name_Hall '-I 4 2'
_cell_length_a 8.2132
_cell_length_b 8.2132
_cell_length_c 4.5942
_cell_angle_alpha 90.00
_cell_angle_beta 90.00
_cell_angle_gamma 90.00
loop_
_atom_site_label
_atom_site_fract_x
_atom_site_fract_y
_atom_site_fract_z
Tb1 0.0000 0.0000 0.0000
Be1 0.2500 0.2500 0.2500
Cu1 0.0000 0.2240 0.5000
Cu2 0.0000 0.3498 0.0000



Record 4
# TbBeCu4 | the Alexandria database | PBE-GGA | relaxed
# Volume (Å³/atom): 14.45
# Magnetic moment (μB/atom): 0.00
# Offset from the most stable computed form (meV/atom): 0
data_TbBeCu4
_chemical_formula_sum 'Tb1 Be1 Cu4'
_space_group_name_H-M_alt 'P -6 m 2'
_space_group_IT_number 187
_space_group_name_Hall 'P -6 2'
_cell_length_a 5.0791
_cell_length_b 5.0791
_cell_length_c 3.8811
_cell_angle_alpha 90.00
_cell_angle_beta 90.00
_cell_angle_gamma 120.00
loop_
_atom_site_label
_atom_site_fract_x
_atom_site_fract_y
_atom_site_fract_z
Tb1 0.0000 0.0000 0.0000
Be1 0.3333 0.6667 0.0000
Cu1 0.0092 0.5046 0.5000
Cu2 0.6667 0.3333 0.0000



Record 5
# Tb12Be3Cu5 | the Alexandria database | PBE-GGA | relaxed
# Volume (Å³/atom): 28.02
# Magnetic moment (μB/atom): 0.00
data_Tb12Be3Cu5
_chemical_formula_sum 'Tb96 Be24 Cu40'
_space_group_name_H-M_alt 'I a -3 d'
_space_group_IT_number 230
_space_group_name_Hall '-I 4bd 2c 3'
_cell_length_a 16.4896
_cell_length_b 16.4896
_cell_length_c 16.4896
_cell_angle_alpha 90.00
_cell_angle_beta 90.00
_cell_angle_gamma 90.00
loop_
_atom_site_label
_atom_site_fract_x
_atom_site_fract_y
_atom_site_fract_z
Tb1 0.0194 0.0712 0.6506
Be1 0.0000 0.2500 0.1250
Cu1 0.0000 0.0000 0.0000
Cu2 0.0000 0.2500 0.3750



Record 6
# TbBeCu4 | the Alexandria database | PBE-GGA | relaxed
# Volume (Å³/atom): 14.45
# Magnetic moment (μB/atom): 0.00
# Offset from the most stable computed form (meV/atom): 99
data_TbBeCu4
_chemical_formula_sum 'Tb4 Be4 Cu16'
_space_group_name_H-M_alt 'F -4 3 m'
_space_group_IT_number 216
_space_group_name_Hall 'F -4 2 3'
_cell_length_a 7.0253
_cell_length_b 7.0253
_cell_length_c 7.0253
_cell_angle_alpha 90.00
_cell_angle_beta 90.00
_cell_angle_gamma 90.00
loop_
_atom_site_label
_atom_site_fract_x
_atom_site_fract_y
_atom_site_fract_z
Tb1 0.0000 0.0000 0.0000
Be1 0.2500 0.2500 0.7500
Cu1 0.1236 0.1236 0.3764



Record 7
# Tb2BeCu | the Alexandria database | PBE-GGA | relaxed
# Volume (Å³/atom): 20.73
# Magnetic moment (μB/atom): 0.00
# Offset from the most stable computed form (meV/atom): 13
data_Tb2BeCu
_chemical_formula_sum 'Tb8 Be4 Cu4'
_space_group_name_H-M_alt 'F m -3 m'
_space_group_IT_number 225
_space_group_name_Hall '-F 4 2 3'
_cell_length_a 6.9217
_cell_length_b 6.9217
_cell_length_c 6.9217
_cell_angle_alpha 90.00
_cell_angle_beta 90.00
_cell_angle_gamma 90.00
loop_
_atom_site_label
_atom_site_fract_x
_atom_site_fract_y
_atom_site_fract_z
Tb1 0.2500 0.2500 0.2500
Be1 0.0000 0.0000 0.0000
Cu1 0.0000 0.0000 0.5000



Record 8
# Tb2BeCu | the Alexandria database | PBE-GGA | relaxed
# Volume (Å³/atom): 20.57
# Magnetic moment (μB/atom): 0.00
# Offset from the most stable computed form (meV/atom): 0
data_Tb2BeCu
_chemical_formula_sum 'Tb2 Be1 Cu1'
_space_group_name_H-M_alt 'P 4/m m m'
_space_group_IT_number 123
_space_group_name_Hall '-P 4 2'
_cell_length_a 3.4477
_cell_length_b 3.4477
_cell_length_c 6.9222
_cell_angle_alpha 90.00
_cell_angle_beta 90.00
_cell_angle_gamma 90.00
loop_
_atom_site_label
_atom_site_fract_x
_atom_site_fract_y
_atom_site_fract_z
Tb1 0.0000 0.0000 0.2437
Be1 0.5000 0.5000 0.0000
Cu1 0.5000 0.5000 0.5000



Record 9
# TbBe2Cu5 | the Alexandria database | PBE-GGA | relaxed
# Volume (Å³/atom): 13.36
# Magnetic moment (μB/atom): 0.00
data_TbBe2Cu5
_chemical_formula_sum 'Tb2 Be4 Cu10'
_space_group_name_H-M_alt 'I m m m'
_space_group_IT_number 71
_space_group_name_Hall '-I 2 2'
_cell_length_a 3.5507
_cell_length_b 6.7307
_cell_length_c 8.9459
_cell_angle_alpha 90.00
_cell_angle_beta 90.00
_cell_angle_gamma 90.00
loop_
_atom_site_label
_atom_site_fract_x
_atom_site_fract_y
_atom_site_fract_z
Tb1 0.0000 0.0000 0.0000
Be1 0.0000 0.5000 0.2484
Cu1 0.0000 0.1883 0.3470
Cu2 0.0000 0.5000 0.0000



Record 10
# TbBe3Cu10 | the Alexandria database | PBE-GGA | relaxed
# Volume (Å³/atom): 12.77
# Magnetic moment (μB/atom): 0.00
data_TbBe3Cu10
_chemical_formula_sum 'Tb8 Be24 Cu80'
_space_group_name_H-M_alt 'F m -3 m'
_space_group_IT_number 225
_space_group_name_Hall '-F 4 2 3'
_cell_length_a 11.2658
_cell_length_b 11.2658
_cell_length_c 11.2658
_cell_angle_alpha 90.00
_cell_angle_beta 90.00
_cell_angle_gamma 90.00
loop_
_atom_site_label
_atom_site_fract_x
_atom_site_fract_y
_atom_site_fract_z
Tb1 0.2500 0.2500 0.2500
Be1 0.0000 0.0000 0.2368
Cu1 0.0000 0.1723 0.3277
Cu2 0.1109 0.1109 0.1109



Number 1: formation energy -0.1340 eV per atom, density of states at the Fermi level 6.2 states/eV/f.u., final energy -3.994 eV per atom. Number 2: formation energy -0.1043 eV per atom, density of states at the Fermi level 2.1 states/eV/f.u., final energy -4.255 eV per atom. Number 3: formation energy -0.1435 eV per atom, density of states at the Fermi level 5.0 states/eV/f.u., final energy -4.167 eV per atom. Number 4: formation energy -0.1583 eV per atom, density of states at the Fermi level 3.9 states/eV/f.u., final energy -4.282 eV per atom. Number 5: formation energy 0.3528 eV per atom, density of states at the Fermi level 18.8 states/eV/f.u., final energy -4.008 eV per atom. Number 6: formation energy -0.0597 eV per atom, density of states at the Fermi level 6.6 states/eV/f.u., final energy -4.183 eV per atom. Number 7: formation energy -0.0502 eV per atom, density of states at the Fermi level 2.3 states/eV/f.u., final energy -4.321 eV per atom. Number 8: formation energy -0.0628 eV per atom, density of states at the Fermi level 3.4 states/eV/f.u., final energy -4.334 eV per atom. Number 9: formation energy -0.0878 eV per atom, density of states at the Fermi level 3.7 states/eV/f.u., final energy -4.158 eV per atom. Number 10: formation energy 0.0154 eV per atom, density of states at the Fermi level 4.4 states/eV/f.u., final energy -4.040 eV per atom.